# 1
The following is a meta-GGA SCAN calculation of a crystal of BaCdRu3 relaxed with PBEsol, from the Alexandria database.

a b c (Å): 4.8828 4.8828 4.8828
angles (deg): 90.00 90.00 90.00
Fractional positions:
Ba1 0.0000 0.0000 0.0000
Ru1 0.5000 0.0000 0.0000
Ru2 0.0000 0.5000 0.0000
Cd1 0.5000 0.5000 0.5000
Ru3 0.0000 0.0000 0.5000

Calculated values
- ρ: 7.9 g cm⁻³
- SG: Pm-3m (221)
- Formation energy: 2.60 eV/atom
- Calculated volume: 116 Å³/cell



# 2
The following is a meta-GGA SCAN calculation of a crystal of ZrTlIn relaxed with PBEsol, from the Alexandria database.

a b c (Å): 3.2744 3.2744 6.8082
angles (deg): 103.91 103.91 90.00
Fractional positions:
Zr1 0.3362 0.3362 0.6724
Tl1 0.6716 0.6716 0.3433
In1 0.9921 0.9921 0.9843

Calculated values
- ρ: 9.9 g cm⁻³
- SG: I4mm (107)
- Formation energy: -0.06 eV/atom
- Calculated volume: 69 Å³/cell



# 3
The following is a meta-GGA SCAN calculation of a crystal of RbGaB2O relaxed with PBEsol, from the Alexandria database.

a b c (Å): 4.3101 5.0771 5.0771
angles (deg): 90.00 90.00 90.00
Fractional positions:
Rb1 0.0000 0.0000 0.0000
Ga1 0.5000 0.5000 0.5000
B1 0.0000 0.0000 0.5000
O1 0.5000 0.0000 0.0000
B2 0.0000 0.5000 0.0000

Calculated values
- ρ: 2.9 g cm⁻³
- VASP energy: -45.73 eV per cell
- SG: P4/mmm (123)
- Calculated volume: 111 Å³/cell



# 4
The following is a meta-GGA SCAN calculation of a crystal of InOs2Pb relaxed with PBEsol, from the Alexandria database.

a b c (Å): 2.9981 5.2591 5.1956
angles (deg): 112.46 90.00 106.56
Fractional positions:
In1 0.2728 0.5456 0.8185
Os1 0.7206 0.4412 0.3102
Pb1 0.4786 0.9571 0.4362
Os2 0.0280 0.0561 0.9352

Calculated values
- ρ: 16.2 g cm⁻³
- Offset from the most stable computed form: 0.000 eV/atom
- SG: Cm (8)
- Formation energy: 0.73 eV/atom
- Calculated volume: 72 Å³/cell



# 5
The following is a meta-GGA SCAN calculation of a crystal of TlCoBr2 relaxed with PBEsol, from the Alexandria database.

a b c (Å): 3.5887 3.6411 8.7424
angles (deg): 90.00 90.00 119.53
Fractional positions:
Br1 0.0000 0.0000 0.6862
Br2 0.0000 0.0000 0.3138
Co1 0.5000 0.0000 0.5000
Tl1 0.5000 0.0000 0.0000

Calculated values
- ρ: 7.1 g cm⁻³
- Offset from the most stable computed form: 0.033 eV/atom
- SG: Cmmm (65)
- Calculated volume: 99 Å³/cell



# 6
The following is a meta-GGA SCAN calculation of a crystal of Cr2HgW relaxed with PBEsol, from the Alexandria database.

a b c (Å): 2.6921 2.6921 8.6120
angles (deg): 90.00 90.00 109.36
Fractional positions:
Cr1 0.0000 0.0000 0.7690
W1 0.5000 0.5000 0.0000
Hg1 0.5000 0.5000 0.5000
Cr2 0.0000 0.0000 0.2310

Calculated values
- ρ: 13.8 g cm⁻³
- SG: Cmmm (65)
- Formation energy: 0.51 eV/atom
- Calculated volume: 59 Å³/cell



# 7
The following is a meta-GGA SCAN calculation of a crystal of Cu2POs relaxed with PBEsol, from the Alexandria database.

a b c (Å): 2.8490 3.9473 4.9430
angles (deg): 113.53 106.75 90.00
Fractional positions:
Cu1 0.7257 0.7257 0.4514
P1 0.0000 0.5000 0.0000
Cu2 0.2743 0.2743 0.5486
Os1 0.5000 0.0000 0.0000

Calculated values
- ρ: 12.0 g cm⁻³
- SG: Immm (71)
- Formation energy: 0.18 eV/atom
- Calculated volume: 48 Å³/cell



# 8
The following is a meta-GGA SCAN calculation of a crystal of TaSbPb2 relaxed with PBEsol, from the Alexandria database.

a b c (Å): 3.1715 4.6789 7.6161
angles (deg): 107.89 102.02 90.00
Fractional positions:
Ta1 0.0000 0.5000 0.0000
Pb1 0.3117 0.3117 0.6235
Pb2 0.6883 0.6883 0.3765
Sb1 0.5000 0.0000 0.0000

Calculated values
- ρ: 11.3 g cm⁻³
- VASP energy: -254.20 eV per cell
- SG: Immm (71)
- Calculated volume: 105 Å³/cell



# 9
The following is a meta-GGA SCAN calculation of a crystal of CsO2 relaxed with PBEsol, from the Alexandria database.

a b c (Å): 4.3177 4.7103 4.3177
angles (deg): 117.28 90.00 117.28
Fractional positions:
Cs1 0.0000 0.0000 0.0000
O1 0.4067 0.8134 0.4067
O2 0.5933 0.1866 0.5933

Calculated values
- ρ: 4.1 g cm⁻³
- Offset from the most stable computed form: 0.015 eV/atom
- SG: I4/mmm (139)
- Calculated volume: 67 Å³/cell



# 10
The following is a meta-GGA SCAN calculation of a crystal of NaCoP2HO7 relaxed with PBEsol, from the Alexandria database.

a b c (Å): 6.4564 6.4902 6.6223
angles (deg): 84.58 66.64 87.70
Fractional positions:
Co1 0.2930 0.1314 0.6077
O1 0.2295 0.4490 0.6058
O2 0.7637 0.5473 0.3958
H1 0.4346 0.2871 0.1990
O3 0.9893 0.2967 0.1208
P1 0.2524 0.6314 0.7219
Co2 0.7003 0.8649 0.3939
O4 0.0040 0.6996 0.8808
O5 0.6391 0.1759 0.4498
O6 0.7165 0.8002 0.7189
O7 0.3810 0.5888 0.8728
H2 0.5585 0.7091 0.8026
P2 0.8283 0.8784 0.8692
O8 0.3541 0.8204 0.5519
O9 0.2767 0.1959 0.2827
O10 0.3379 0.1113 0.8983
O11 0.0369 0.9208 0.2458
O12 0.6554 0.8849 0.1033
Na1 0.6984 0.3402 0.7566
O13 0.9563 0.0755 0.7558
P3 0.1649 0.1178 0.1323
P4 0.7408 0.3648 0.2796
O14 0.6123 0.4074 0.1287
Na2 0.2951 0.6563 0.2449

Calculated values
- ρ: 3.4 g cm⁻³
- VASP energy: -229.66 eV per cell
- SG: P-1 (2)
- Calculated volume: 254 Å³/cell



# 11
The following is a meta-GGA SCAN calculation of a crystal of TiPRuS2 relaxed with PBEsol, from the Alexandria database.

a b c (Å): 4.3196 4.6307 4.6307
angles (deg): 90.00 90.00 90.00
Fractional positions:
Ru1 0.0000 0.0000 0.0000
Ti1 0.5000 0.5000 0.5000
S1 0.0000 0.5000 0.0000
P1 0.5000 0.0000 0.0000
S2 0.0000 0.0000 0.5000

Calculated values
- ρ: 4.4 g cm⁻³
- VASP energy: -79.06 eV per cell
- SG: P4/mmm (123)
- Calculated volume: 93 Å³/cell



# 12
The following is a meta-GGA SCAN calculation of a crystal of Y8Co5 relaxed with PBEsol, from the Alexandria database.

a b c (Å): 6.9087 7.0606 23.2379
angles (deg): 90.00 94.85 90.00
Fractional positions:
Co1 0.5422 0.8535 0.5173
Y1 0.2292 0.5430 0.9151
Y2 0.2708 0.0430 0.5849
Co2 0.9114 0.6149 0.4038
Co3 0.1718 0.4712 0.2652
Co4 0.3572 0.9703 0.7179
Y3 0.7730 0.1662 0.5584
Y4 0.2270 0.8338 0.4416
Y5 0.2730 0.3338 0.0584
Co5 0.8282 0.5288 0.7348
Co6 0.7022 0.9689 0.8677
Co7 0.4578 0.1465 0.4827
Co8 0.2022 0.5311 0.3677
Y6 0.8928 0.6849 0.5377
Y7 0.1478 0.6699 0.6769
Y8 0.4852 0.6861 0.7978
Y9 0.7708 0.4570 0.0849
Y10 0.0129 0.1845 0.1965
Co9 0.1428 0.4703 0.7821
Co10 0.5886 0.1149 0.0962
Y11 0.1072 0.3151 0.4623
Co11 0.8572 0.5297 0.2179
Y12 0.4240 0.5250 0.5645
Co12 0.6718 0.0288 0.7652
Co13 0.3282 0.9712 0.2348
Y13 0.9871 0.8155 0.8035
Y14 0.5760 0.4750 0.4355
Co14 0.2978 0.0311 0.1323
Y15 0.3351 0.1836 0.3348
Y16 0.0148 0.1861 0.7022
Y17 0.7292 0.9570 0.4151
Y18 0.6072 0.1849 0.9623
Y19 0.0760 0.0250 0.9355
Y20 0.1649 0.6836 0.1652
Y21 0.9852 0.8139 0.2978
Y22 0.5129 0.3155 0.6965
Y23 0.6478 0.8301 0.1769
Y24 0.6649 0.8164 0.6652
Co15 0.6428 0.0297 0.2821
Co16 0.4114 0.8851 0.9038
Y25 0.5148 0.3139 0.2022
Y26 0.3522 0.1699 0.8231
Co17 0.0422 0.6465 0.0173
Co18 0.9578 0.3535 0.9827
Y27 0.8351 0.3164 0.8348
Y28 0.4871 0.6845 0.3035
Y29 0.9240 0.9750 0.0645
Y30 0.7270 0.6662 0.9416
Co19 0.7978 0.4689 0.6323
Y31 0.8522 0.3301 0.3231
Y32 0.3928 0.8151 0.0377
Co20 0.0886 0.3851 0.5962

Calculated values
- ρ: 5.9 g cm⁻³
- SG: P2_1/c (14)
- Formation energy: -0.07 eV/atom
- Calculated volume: 1129 Å³/cell



# 13
The following is a meta-GGA SCAN calculation of a crystal of Tl2Ge2I relaxed with PBEsol, from the Alexandria database.

a b c (Å): 3.7782 3.7782 10.1819
angles (deg): 100.69 100.69 90.00
Fractional positions:
Tl1 0.6090 0.6090 0.2181
Ge1 0.2500 0.7500 0.5000
Tl2 0.3910 0.3910 0.7819
Ge2 0.7500 0.2500 0.5000
I1 0.0000 0.0000 0.0000

Calculated values
- ρ: 8.1 g cm⁻³
- VASP energy: -219.30 eV per cell
- SG: I4/mmm (139)
- Calculated volume: 140 Å³/cell



# 14
The following is a meta-GGA SCAN calculation of a crystal of ZrFeAu2 relaxed with PBEsol, from the Alexandria database.

a b c (Å): 3.8496 3.8496 4.2686
angles (deg): 90.00 90.00 90.00
Fractional positions:
Zr1 0.0000 0.0000 0.5000
Au1 0.5000 0.0000 0.0000
Fe1 0.5000 0.5000 0.5000
Au2 0.0000 0.5000 0.0000

Calculated values
- ρ: 14.2 g cm⁻³
- SG: P4/mmm (123)
- Formation energy: -0.19 eV/atom
- Calculated volume: 63 Å³/cell



# 15
The following is a meta-GGA SCAN calculation of a crystal of LiCa2Rh2 relaxed with PBEsol, from the Alexandria database.

a b c (Å): 4.1976 6.8719 6.8719
angles (deg): 90.00 90.00 90.00
Fractional positions:
Ca1 0.5000 0.8293 0.3293
Rh1 0.0000 0.1331 0.3669
Rh2 0.0000 0.8669 0.6331
Rh3 0.0000 0.3669 0.8669
Li1 0.0000 0.0000 0.0000
Ca2 0.5000 0.6707 0.8293
Ca3 0.5000 0.3293 0.1707
Ca4 0.5000 0.1707 0.6707
Li2 0.0000 0.5000 0.5000
Rh4 0.0000 0.6331 0.1331

Calculated values
- ρ: 4.9 g cm⁻³
- SG: P4/mbm (127)
- Formation energy: -0.25 eV/atom
- Calculated volume: 198 Å³/cell



# 16
The following is a meta-GGA SCAN calculation of a crystal of BaCuRe relaxed with PBEsol, from the Alexandria database.

a b c (Å): 2.9568 3.7378 6.2147
angles (deg): 107.50 103.76 90.00
Fractional positions:
Re1 0.2853 0.2853 0.5707
Ba1 0.9994 0.9994 0.9988
Cu1 0.7153 0.7153 0.4305

Calculated values
- ρ: 10.1 g cm⁻³
- Offset from the most stable computed form: 0.000 eV/atom
- SG: Imm2 (44)
- Formation energy: 0.93 eV/atom
- Calculated volume: 63 Å³/cell



# 17
The following is a meta-GGA SCAN calculation of a crystal of Zr5Rh3 relaxed with PBEsol, from the Alexandria database.

a b c (Å): 4.6857 5.6551 5.6551
angles (deg): 107.54 90.00 90.00
Fractional positions:
Zr1 0.5000 0.2590 0.2590
Zr2 0.0000 0.5000 0.0000
Rh1 0.5000 0.2467 0.7533
Zr3 0.5000 0.7410 0.7410
Rh2 0.5000 0.7533 0.2467
Rh3 0.0000 0.5000 0.5000
Zr4 0.0000 0.0000 0.0000
Zr5 0.0000 0.0000 0.5000

Calculated values
- ρ: 8.9 g cm⁻³
- Offset from the most stable computed form: 0.126 eV/atom
- SG: Cmmm (65)
- Formation energy: -0.63 eV/atom
- Calculated volume: 143 Å³/cell



# 18
The following is a meta-GGA SCAN calculation of a crystal of CuAg2NO relaxed with PBEsol, from the Alexandria database.

a b c (Å): 3.3346 4.8179 4.8179
angles (deg): 90.00 90.00 90.00
Fractional positions:
O1 0.5000 0.5000 0.5000
N1 0.5000 0.0000 0.0000
Ag1 0.0000 0.0000 0.5000
Cu1 0.0000 0.0000 0.0000
Ag2 0.0000 0.5000 0.0000

Calculated values
- ρ: 6.6 g cm⁻³
- VASP energy: -88.68 eV per cell
- SG: P4/mmm (123)
- Calculated volume: 77 Å³/cell



# 19
The following is a meta-GGA SCAN calculation of a crystal of Cr2TePt relaxed with PBEsol, from the Alexandria database.

a b c (Å): 2.9672 3.8956 5.6536
angles (deg): 90.00 103.39 90.00
Fractional positions:
Pt1 0.5000 0.5000 0.0000
Cr1 0.0818 0.0000 0.1860
Cr2 0.9182 0.0000 0.8140
Te1 0.5000 0.5000 0.5000

Calculated values
- ρ: 11.1 g cm⁻³
- VASP energy: -142.77 eV per cell
- SG: P2/m (10)
- Calculated volume: 64 Å³/cell



# 20
The following is a meta-GGA SCAN calculation of a crystal of Sb relaxed with PBEsol, from the Alexandria database.

a b c (Å): 4.3281 4.3281 4.4487
angles (deg): 60.89 60.89 60.00
Fractional positions:
Sb1 0.7640 0.7640 0.7079
Sb2 0.2360 0.2360 0.2921

Calculated values
- ρ: 6.8 g cm⁻³
- Offset from the most stable computed form: 0.000 eV/atom
- SG: R-3m (166)
- Calculated volume: 60 Å³/cell



# 21
The following is a meta-GGA SCAN calculation of a crystal of AlRh2 relaxed with PBEsol, from the Alexandria database.

a b c (Å): 5.0197 5.0197 5.0197
angles (deg): 60.00 60.00 60.00
Fractional positions:
Rh1 0.1250 0.6250 0.1250
Rh2 0.1250 0.1250 0.6250
Al1 0.5000 0.5000 0.5000
Rh3 0.6250 0.1250 0.1250
Rh4 0.1250 0.1250 0.1250
Al2 0.7500 0.7500 0.7500

Calculated values
- ρ: 8.6 g cm⁻³
- SG: Fd-3m (227)
- Formation energy: -0.14 eV/atom
- Calculated volume: 89 Å³/cell



# 22
The following is a meta-GGA SCAN calculation of a crystal of Re2Ir relaxed with PBEsol, from the Alexandria database.

a b c (Å): 2.7310 5.1751 6.4891
angles (deg): 103.11 90.00 105.30
Fractional positions:
Ir1 0.9712 0.9424 0.1951
Re1 0.6927 0.3854 0.1411
Ir2 0.0288 0.0576 0.8049
Re2 0.3612 0.7224 0.4755
Re3 0.6388 0.2776 0.5245
Re4 0.3073 0.6146 0.8589

Calculated values
- ρ: 21.8 g cm⁻³
- Offset from the most stable computed form: 0.010 eV/atom
- SG: C2/m (12)
- Formation energy: -0.24 eV/atom
- Calculated volume: 86 Å³/cell



# 23
The following is a meta-GGA SCAN calculation of a crystal of RbBaReRu2 relaxed with PBEsol, from the Alexandria database.

a b c (Å): 4.8982 4.8982 4.9925
angles (deg): 90.00 90.00 90.00
Fractional positions:
Re1 0.0000 0.0000 0.5000
Rb1 0.0000 0.0000 0.0000
Ru1 0.0000 0.5000 0.0000
Ru2 0.5000 0.0000 0.0000
Ba1 0.5000 0.5000 0.5000

Calculated values
- ρ: 8.5 g cm⁻³
- SG: P4/mmm (123)
- Formation energy: 2.99 eV/atom
- Calculated volume: 120 Å³/cell



# 24
The following is a meta-GGA SCAN calculation of a crystal of MnZnIr2 relaxed with PBEsol, from the Alexandria database.

a b c (Å): 2.7195 4.4919 4.6966
angles (deg): 100.35 90.00 107.62
Fractional positions:
Ir1 0.2544 0.5089 0.2553
Mn1 0.0000 0.0000 0.5000
Zn1 0.5000 0.0000 0.0000
Ir2 0.7456 0.4911 0.7447

Calculated values
- ρ: 15.6 g cm⁻³
- SG: C2/m (12)
- Formation energy: -0.31 eV/atom
- Calculated volume: 54 Å³/cell



# 25
The following is a meta-GGA SCAN calculation of a crystal of FeAuBr3 relaxed with PBEsol, from the Alexandria database.

a b c (Å): 4.9047 4.9047 4.9047
angles (deg): 90.00 90.00 90.00
Fractional positions:
Fe1 0.0000 0.0000 0.0000
Br1 0.0000 0.5000 0.0000
Br2 0.5000 0.0000 0.0000
Au1 0.5000 0.5000 0.5000
Br3 0.0000 0.0000 0.5000

Calculated values
- ρ: 6.9 g cm⁻³
- VASP energy: -144.91 eV per cell
- SG: Pm-3m (221)
- Calculated volume: 118 Å³/cell



# 26
The following is a meta-GGA SCAN calculation of a crystal of Ca2SiSb relaxed with PBEsol, from the Alexandria database.

a b c (Å): 3.8705 4.7414 6.2566
angles (deg): 112.27 108.02 90.00
Fractional positions:
Si1 0.2236 0.7236 0.4471
Ca1 0.9861 0.9861 0.9721
Ca2 0.7548 0.2548 0.5096
Sb1 0.5356 0.5356 0.0712

Calculated values
- ρ: 3.8 g cm⁻³
- Offset from the most stable computed form: 0.025 eV/atom
- SG: Imm2 (44)
- Calculated volume: 100 Å³/cell